[1]
First-principles (PBE-GGA) data for crystalline Hf2Zn2Pb at its relaxed geometry, as listed in Alexandria via LeMat-Bulk.

## Properties
Polymorph energy (0 for the lowest one) ... 0.00 eV/f.u.
Energy relative to the elements ... 0.03 eV per atom

Unit cell a=7.7387 b=7.7387 c=3.3407 alpha=90.00 beta=90.00 gamma=90.00
Sites, in units of the cell vectors:
Pb1 0.0000 0.0000 0.0000
Pb2 0.5000 0.5000 0.0000
Zn1 0.3837 0.8837 0.0000
Zn2 0.8837 0.6163 0.0000
Zn3 0.6163 0.1163 0.0000
Zn4 0.1163 0.3837 0.0000
Hf1 0.1779 0.6779 0.5000
Hf2 0.6779 0.8221 0.5000
Hf3 0.8221 0.3221 0.5000
Hf4 0.3221 0.1779 0.5000

[2]
First-principles (PBE-GGA) data for crystalline HfZnPb at its relaxed geometry, as listed in Alexandria via LeMat-Bulk.

## Properties
Polymorph energy (0 for the lowest one) ... 0.00 eV/f.u.
Energy relative to the elements ... -0.01 eV per atom

Unit cell a=3.1969 b=4.4967 c=13.3989 alpha=88.35 beta=90.02 gamma=44.66
Sites, in units of the cell vectors:
Pb1 0.4564 0.4742 0.8332
Pb2 0.6030 0.8296 0.5889
Hf1 0.5329 0.8992 0.2887
Hf2 0.4823 0.9490 0.0158
Zn1 0.5558 0.3764 0.4231
Zn2 0.5075 0.4241 0.1499

[3]
First-principles (PBE-GGA) data for crystalline Hf2ZnPb at its relaxed geometry, as listed in Alexandria via LeMat-Bulk.

## Properties
Polymorph energy (0 for the lowest one) ... 1.07 eV/f.u.
Energy relative to the elements ... 0.24 eV per atom

Unit cell a=7.7123 b=7.7123 c=6.2234 alpha=51.71 beta=51.71 gamma=90.00
Sites, in units of the cell vectors:
Pb1 0.0000 0.0000 0.0000
Pb2 0.7500 0.2500 0.5000
Zn1 0.5000 0.5000 0.0000
Zn2 0.2500 0.7500 0.5000
Hf1 0.6058 0.1250 0.2500
Hf2 0.1442 0.6250 0.2500
Hf3 0.3750 0.3942 0.7500
Hf4 0.8750 0.8558 0.7500

[4]
First-principles (PBE-GGA) data for crystalline HfZn3Pb at its relaxed geometry, as listed in Alexandria via LeMat-Bulk.

## Properties
Polymorph energy (0 for the lowest one) ... 0.00 eV/f.u.
Energy relative to the elements ... 0.79 eV per atom

Unit cell a=5.1969 b=5.1969 c=5.1969 alpha=90.00 beta=90.00 gamma=90.00
Sites, in units of the cell vectors:
Pb1 0.5000 0.5000 0.5000
Zn1 0.0000 0.5000 0.0000
Zn2 0.0000 0.0000 0.5000
Zn3 0.5000 0.0000 0.0000
Hf1 0.0000 0.0000 0.0000

[5]
First-principles (PBE-GGA) data for crystalline HfZr3Pb at its relaxed geometry, as listed in Alexandria via LeMat-Bulk.

## Properties
Polymorph energy (0 for the lowest one) ... 0.00 eV/f.u.
Energy relative to the elements ... -0.09 eV per atom

Unit cell a=5.2015 b=8.1107 c=5.7353 alpha=107.28 beta=90.00 gamma=90.00
Sites, in units of the cell vectors:
Hf1 0.2500 0.8886 0.5270
Hf2 0.7500 0.1114 0.4730
Zr1 0.2500 0.0925 0.1641
Zr2 0.7500 0.9075 0.8359
Zr3 0.7500 0.5083 0.6540
Zr4 0.2500 0.4917 0.3460
Zr5 0.2500 0.2771 0.7569
Zr6 0.7500 0.7229 0.2431
Pb1 0.7500 0.3084 0.0720
Pb2 0.2500 0.6916 0.9280

[6]
First-principles (PBE-GGA) data for crystalline HfZr2Pb2 at its relaxed geometry, as listed in Alexandria via LeMat-Bulk.

## Properties
Polymorph energy (0 for the lowest one) ... 0.00 eV/f.u.
Energy relative to the elements ... -0.10 eV per atom

Unit cell a=7.7863 b=7.7863 c=3.9357 alpha=90.00 beta=90.00 gamma=90.00
Sites, in units of the cell vectors:
Pb1 0.3593 0.8593 0.0000
Pb2 0.8593 0.6407 0.0000
Pb3 0.6407 0.1407 0.0000
Pb4 0.1407 0.3593 0.0000
Hf1 0.0000 0.0000 0.0000
Hf2 0.5000 0.5000 0.0000
Zr1 0.1624 0.6624 0.5000
Zr2 0.6624 0.8376 0.5000
Zr3 0.8376 0.3376 0.5000
Zr4 0.3376 0.1624 0.5000

[7]
First-principles (PBE-GGA) data for crystalline HfZr3Pb at its relaxed geometry, as listed in Alexandria via LeMat-Bulk.

## Properties
Polymorph energy (0 for the lowest one) ... 5.13 eV/f.u.
Energy relative to the elements ... 0.93 eV per atom

Unit cell a=5.1871 b=5.1871 c=5.1871 alpha=90.00 beta=90.00 gamma=90.00
Each line ends with the local moment (μB).
Sites, in units of the cell vectors:
Pb1 0.5000 0.5000 0.5000  -0.01
Hf1 0.0000 0.0000 0.0000  0.05
Zr1 0.0000 0.5000 0.0000  0.22
Zr2 0.0000 0.0000 0.5000  0.15
Zr3 0.5000 0.0000 0.0000  0.36

[8]
First-principles (PBE-GGA) data for crystalline HfZr4Pb at its relaxed geometry, as listed in Alexandria via LeMat-Bulk.

## Properties
Energy relative to the elements ... 0.13 eV per atom

Unit cell a=3.0952 b=8.7016 c=5.3299 alpha=90.02 beta=90.00 gamma=90.00
Sites, in units of the cell vectors:
Hf1 0.0000 0.0000 0.0000
Zr1 0.5000 0.6857 0.0001
Zr2 0.5000 0.3143 0.9999
Zr3 0.0000 0.1796 0.5002
Zr4 0.0000 0.8204 0.4998
Pb1 0.5000 0.5000 0.5000

[9]
First-principles (PBE-GGA) data for crystalline HfZr2Pb2 at its relaxed geometry, as listed in Alexandria via LeMat-Bulk.

## Properties
Polymorph energy (0 for the lowest one) ... 1.43 eV/f.u.
Energy relative to the elements ... 0.18 eV per atom

Unit cell a=8.6267 b=8.6267 c=3.3000 alpha=90.00 beta=90.00 gamma=90.00
Sites, in units of the cell vectors:
Pb1 0.1739 0.6739 0.5000
Pb2 0.6739 0.8261 0.5000
Pb3 0.8261 0.3261 0.5000
Pb4 0.3261 0.1739 0.5000
Hf1 0.0000 0.0000 0.0000
Hf2 0.5000 0.5000 0.0000
Zr1 0.3752 0.8752 0.0000
Zr2 0.8752 0.6248 0.0000
Zr3 0.6248 0.1248 0.0000
Zr4 0.1248 0.3752 0.0000

[10]
First-principles (PBE-GGA) data for crystalline Hf5ZrPb4 at its relaxed geometry, as listed in Alexandria via LeMat-Bulk.

## Properties
Energy relative to the elements ... 0.26 eV per atom

Unit cell a=5.4655 b=10.5348 c=8.8435 alpha=90.00 beta=90.00 gamma=90.00
Sites, in units of the cell vectors:
Hf1 0.2579 0.7511 0.6632
Hf2 0.2579 0.2489 0.6632
Hf3 0.5655 0.5000 0.0000
Hf4 0.2579 0.7511 0.3368
Hf5 0.2579 0.2489 0.3368
Hf6 0.7421 0.7489 0.1632
Hf7 0.7421 0.2511 0.1632
Hf8 0.4345 0.0000 0.5000
Hf9 0.7421 0.2511 0.8368
Hf10 0.7421 0.7489 0.8368
Zr1 0.5464 0.0000 0.0000
Zr2 0.4536 0.5000 0.5000
Pb1 0.9940 0.0000 0.7519
Pb2 0.2357 0.7469 0.0000
Pb3 0.2357 0.2531 0.0000
Pb4 0.9940 0.0000 0.2481
Pb5 0.0060 0.5000 0.2519
Pb6 0.7643 0.7531 0.5000
Pb7 0.7643 0.2469 0.5000
Pb8 0.0060 0.5000 0.7481

[11]
First-principles (PBE-GGA) data for crystalline HfZr5Pb3 at its relaxed geometry, as listed in Alexandria via LeMat-Bulk.

## Properties
Energy relative to the elements ... -0.16 eV per atom

Unit cell a=6.0306 b=8.9160 c=8.9166 alpha=120.00 beta=90.00 gamma=90.00
Sites, in units of the cell vectors:
Hf1 0.0000 0.0000 0.0000
Hf2 0.5000 0.0000 0.0000
Zr1 0.0000 0.6666 0.3333
Zr2 0.5000 0.3334 0.6667
Zr3 0.0000 0.3334 0.6667
Zr4 0.5000 0.6666 0.3333
Zr5 0.7500 0.6845 0.6845
Zr6 0.7500 0.0000 0.3155
Zr7 0.7500 0.3155 0.0000
Zr8 0.2500 0.3155 0.3155
Zr9 0.2500 0.0000 0.6845
Zr10 0.2500 0.6845 0.0000
Pb1 0.7500 0.3490 0.3490
Pb2 0.7500 0.0000 0.6510
Pb3 0.7500 0.6511 0.0000
Pb4 0.2500 0.6510 0.6510
Pb5 0.2500 0.0000 0.3490
Pb6 0.2500 0.3489 0.0000

[12]
First-principles (PBE-GGA) data for crystalline Hf4ZrPb2 at its relaxed geometry, as listed in Alexandria via LeMat-Bulk.

## Properties
Polymorph energy (0 for the lowest one) ... 0.00 eV/f.u.
Energy relative to the elements ... 0.06 eV per atom

Unit cell a=7.6347 b=6.0350 c=8.3085 alpha=90.00 beta=120.36 gamma=90.00
Sites, in units of the cell vectors:
Hf1 0.5791 0.4987 0.2228
Hf2 0.1557 0.7500 0.9345
Hf3 0.8443 0.2500 0.0655
Hf4 0.5791 0.0013 0.2228
Hf5 0.0182 0.2500 0.4956
Hf6 0.4209 0.9987 0.7772
Hf7 0.4209 0.5013 0.7772
Hf8 0.9818 0.7500 0.5044
Zr1 0.2683 0.7500 0.3583
Zr2 0.7317 0.2500 0.6417
Pb1 0.8267 0.7500 0.0783
Pb2 0.1733 0.2500 0.9217
Pb3 0.3023 0.2500 0.3595
Pb4 0.6977 0.7500 0.6405

[13]
First-principles (PBE-GGA) data for crystalline HfZrPb2 at its relaxed geometry, as listed in Alexandria via LeMat-Bulk.

## Properties
Polymorph energy (0 for the lowest one) ... 0.57 eV/f.u.
Energy relative to the elements ... 0.16 eV per atom

Unit cell a=8.0227 b=8.0227 c=6.5097 alpha=51.96 beta=51.96 gamma=90.00
Sites, in units of the cell vectors:
Pb1 0.6272 0.1250 0.2500
Pb2 0.1228 0.6250 0.2500
Pb3 0.3750 0.3728 0.7500
Pb4 0.8750 0.8772 0.7500
Hf1 0.0000 0.0000 0.0000
Hf2 0.7500 0.2500 0.5000
Zr1 0.5000 0.5000 0.0000
Zr2 0.2500 0.7500 0.5000

[14]
First-principles (PBE-GGA) data for crystalline HfZrPb2 at its relaxed geometry, as listed in Alexandria via LeMat-Bulk.

## Properties
Polymorph energy (0 for the lowest one) ... 0.46 eV/f.u.
Energy relative to the elements ... 0.13 eV per atom

Unit cell a=5.1273 b=5.1273 c=5.1273 alpha=60.00 beta=60.00 gamma=60.00
Sites, in units of the cell vectors:
Pb1 0.2500 0.2500 0.2500
Pb2 0.7500 0.7500 0.7500
Hf1 0.5000 0.5000 0.5000
Zr1 0.0000 0.0000 0.0000

[15]
First-principles (PBE-GGA) data for crystalline Hf4Zr2Pb at its relaxed geometry, as listed in Alexandria via LeMat-Bulk.

## Properties
Energy relative to the elements ... 0.34 eV per atom

Unit cell a=8.2565 b=8.2565 c=8.2565 alpha=78.71 beta=126.72 gamma=126.72
Sites, in units of the cell vectors:
Hf1 0.7869 0.8100 0.3100
Hf2 0.2131 0.5231 0.0231
Hf3 0.5000 0.3100 0.5231
Hf4 0.5000 0.0231 0.8100
Hf5 0.5000 0.9769 0.1900
Hf6 0.5000 0.6900 0.4769
Hf7 0.7869 0.4769 0.9769
Hf8 0.2131 0.1900 0.6900
Zr1 0.8051 0.1525 0.6525
Zr2 0.1949 0.8475 0.3475
Zr3 0.5000 0.6525 0.8475
Zr4 0.5000 0.3475 0.1525
Pb1 0.0000 0.2500 0.2500
Pb2 0.0000 0.7500 0.7500

[16]
First-principles (PBE-GGA) data for crystalline Hf2ZrPb2 at its relaxed geometry, as listed in Alexandria via LeMat-Bulk.

## Properties
Polymorph energy (0 for the lowest one) ... 0.00 eV/f.u.
Energy relative to the elements ... 0.00 eV per atom

Unit cell a=7.7941 b=7.7941 c=3.8973 alpha=90.00 beta=90.00 gamma=90.00
Sites, in units of the cell vectors:
Pb1 0.3589 0.8589 0.0000
Pb2 0.8589 0.6411 0.0000
Pb3 0.6411 0.1411 0.0000
Pb4 0.1411 0.3589 0.0000
Hf1 0.1614 0.6614 0.5000
Hf2 0.6614 0.8386 0.5000
Hf3 0.8386 0.3386 0.5000
Hf4 0.3386 0.1614 0.5000
Zr1 0.0000 0.0000 0.0000
Zr2 0.5000 0.5000 0.0000

[17]
First-principles (PBE-GGA) data for crystalline Hf4ZrPb2 at its relaxed geometry, as listed in Alexandria via LeMat-Bulk.

## Properties
Polymorph energy (0 for the lowest one) ... 2.05 eV/f.u.
Energy relative to the elements ... 0.35 eV per atom

Unit cell a=4.1382 b=4.1382 c=10.5415 alpha=101.32 beta=101.32 gamma=90.00
Sites, in units of the cell vectors:
Hf1 0.1388 0.1388 0.2776
Hf2 0.8612 0.8612 0.7224
Hf3 0.2500 0.7500 0.5000
Hf4 0.7500 0.2500 0.5000
Zr1 0.0000 0.0000 0.0000
Pb1 0.5900 0.5900 0.1799
Pb2 0.4100 0.4100 0.8201

[18]
First-principles (PBE-GGA) data for crystalline Hf3Zr8Pb at its relaxed geometry, as listed in Alexandria via LeMat-Bulk.

## Properties
Energy relative to the elements ... 0.72 eV per atom

Unit cell a=7.5433 b=7.5433 c=7.5433 alpha=95.02 beta=117.15 gamma=117.15
Sites, in units of the cell vectors:
Hf1 0.5000 0.7500 0.2500
Hf2 0.5000 0.2500 0.7500
Hf3 0.0000 0.5000 0.5000
Zr1 0.5151 0.2875 0.2875
Zr2 0.4849 0.7724 0.7724
Zr3 0.0000 0.7125 0.2276
Zr4 0.0000 0.2276 0.7125
Zr5 0.2847 0.4092 0.4092
Zr6 0.7153 0.1245 0.1245
Zr7 0.0000 0.5908 0.8755
Zr8 0.0000 0.8755 0.5908
Pb1 0.0000 0.0000 0.0000

[19]
First-principles (PBE-GGA) data for crystalline HfZr3Pb at its relaxed geometry, as listed in Alexandria via LeMat-Bulk.

## Properties
Polymorph energy (0 for the lowest one) ... 0.45 eV/f.u.
Energy relative to the elements ... 0.00 eV per atom

Unit cell a=8.3933 b=7.8573 c=7.8573 alpha=85.42 beta=71.31 gamma=71.31
Sites, in units of the cell vectors:
Hf1 0.8195 0.4302 0.7688
Hf2 0.6805 0.2312 0.5698
Hf3 0.1805 0.5698 0.2312
Hf4 0.3195 0.7688 0.4302
Zr1 0.6294 0.7217 0.0473
Zr2 0.8706 0.9527 0.2783
Zr3 0.3706 0.2783 0.9527
Zr4 0.1294 0.0473 0.7217
Zr5 0.9641 0.3142 0.0703
Zr6 0.5359 0.9297 0.6858
Zr7 0.0359 0.6858 0.9297
Zr8 0.4641 0.0703 0.3142
Zr9 0.4344 0.6092 0.7826
Zr10 0.0656 0.2174 0.3908
Zr11 0.5656 0.3908 0.2174
Zr12 0.9344 0.7826 0.6092
Pb1 0.2500 0.9344 0.0656
Pb2 0.7500 0.0656 0.9344
Pb3 0.2500 0.3938 0.6062
Pb4 0.7500 0.6062 0.3938

[20]
First-principles (PBE-GGA) data for crystalline Hf5ZrPb2 at its relaxed geometry, as listed in Alexandria via LeMat-Bulk.

## Properties
Energy relative to the elements ... -0.03 eV per atom

Unit cell a=4.4615 b=6.3457 c=12.6935 alpha=90.00 beta=90.00 gamma=90.00
Sites, in units of the cell vectors:
Hf1 0.0000 0.0000 0.0000
Hf2 0.0000 0.5000 0.5000
Hf3 0.0000 0.5000 0.7484
Hf4 0.0000 0.5000 0.2516
Hf5 0.0000 0.0000 0.2484
Hf6 0.0000 0.0000 0.7516
Hf7 0.5000 0.2497 0.8736
Hf8 0.5000 0.7503 0.1264
Hf9 0.5000 0.2503 0.3736
Hf10 0.5000 0.7497 0.6264
Zr1 0.0000 0.0000 0.5000
Zr2 0.0000 0.5000 0.0000
Pb1 0.5000 0.2505 0.6245
Pb2 0.5000 0.7495 0.3755
Pb3 0.5000 0.2495 0.1245
Pb4 0.5000 0.7505 0.8755